A plane-wave DFT calculation with PBE-GGA was carried out for a geometry-optimized Ca4Pa3CdN8 structure.

Summary:
Total DFT energy (no corrections) = -7.7420 eV/atom
Formation energy from raw total energies = -119.8 kJ per mole of atoms

Cell: 7.0557 7.0169 7.0566 Å, 120.19 120.00 90.00°
Last column: nearest neighbours and their distance in Å.
Element x y z (fractional)
Ca1 0.5000 0.0000 0.0000  6 N 2.46
Ca2 0.5000 0.0000 0.5000  6 N 2.60-2.66
Ca3 0.0000 0.0000 0.0000  6 N 2.60-2.66
Ca4 0.0000 0.0000 0.5000  6 N 2.60-2.66
Pa1 0.5000 0.5000 0.0000  6 N 2.33-2.39
Pa2 0.5000 0.5000 0.5000  6 N 2.33-2.39
Pa3 0.0000 0.5000 0.5000  6 N 2.33-2.39
Cd1 0.0000 0.5000 0.0000  6 N 2.54
N1 0.2539 0.7207 0.9667  2 Pa 2.33, 1 Ca 2.46, 1 Cd 2.54
N2 0.2540 0.7208 0.5080  2 Pa 2.33, 1 Ca 2.46, 1 Cd 2.54
N3 0.2607 0.2821 0.5215  3 Pa 2.39, 3 Ca 2.60
N4 0.7127 0.7207 0.9667  2 Pa 2.33, 1 Ca 2.46, 1 Cd 2.54
N5 0.2873 0.2793 0.0333  2 Pa 2.33, 1 Ca 2.46, 1 Cd 2.54
N6 0.7393 0.7179 0.4785  3 Pa 2.39, 3 Ca 2.60
N7 0.7460 0.2792 0.4920  2 Pa 2.33, 1 Ca 2.46, 1 Cd 2.54
N8 0.7461 0.2793 0.0333  2 Pa 2.33, 1 Ca 2.46, 1 Cd 2.54